TmMgGe: optimized geometry, PBE.

abc: 4.633 4.633 4.633
angles: 60.00 60.00 60.00
Element x y z (fractional)
Tm1 0.000 0.000 0.000
Mg1 0.500 0.500 0.500
Ge1 0.750 0.750 0.750

Properties
total energy = -3.9782 eV per atom
symmetry = No. 216

RbB4Au: optimized geometry, PBE.

abc: 5.951 5.951 5.951
angles: 153.32 122.29 64.68
Element x y z (fractional)
Rb1 0.000 0.000 0.000
B1 0.113 0.760 0.353
B2 0.408 0.760 0.647
B3 0.592 0.240 0.353
B4 0.887 0.240 0.647
Au1 0.500 0.500 0.000

Properties
symmetry = No. 71
relative energy among the computed polymorphs = 52 meV per atom

La2NdCd3PdAu2: optimized geometry, PBE.

abc: 4.071 7.945 7.945
angles: 119.96 90.00 90.00
Element x y z (fractional)
La1 0.000 0.201 0.799
La2 0.000 0.799 0.201
Nd1 0.000 0.601 0.601
Cd1 0.500 0.204 0.447
Cd2 0.500 0.447 0.204
Cd3 0.500 0.949 0.949
Pd1 0.000 0.198 0.198
Au1 0.500 0.534 0.866
Au2 0.500 0.866 0.534

Properties
formation energy from the elements = -0.68 eV/atom
symmetry = No. 38

PaAg2Ge3: optimized geometry, PBE.

abc: 4.069 4.069 7.424
angles: 90.00 90.00 90.00
Element x y z (fractional)
Pa1 0.000 0.000 0.000
Ag1 0.000 0.500 0.653
Ag2 0.500 0.000 0.347
Ge1 0.000 0.500 0.296
Ge2 0.500 0.000 0.704
Ge3 0.500 0.500 0.000

Properties
total energy = -4.8486 eV per atom
symmetry = No. 115

TcAuNO: optimized geometry, PBE.

abc: 3.845 3.845 9.601
angles: 90.00 90.00 90.00
Element x y z (fractional)
Tc1 0.250 0.250 0.087
Tc2 0.750 0.750 0.913
Au1 0.250 0.750 0.500
Au2 0.750 0.250 0.500
N1 0.250 0.250 0.258
N2 0.750 0.750 0.742
O1 0.250 0.750 0.000
O2 0.750 0.250 0.000

Properties
symmetry = No. 129
relative energy among the computed polymorphs = 141 meV per atom

NaZrAsOs: optimized geometry, PBE.

abc: 4.556 4.556 4.556
angles: 60.00 60.00 60.00
Element x y z (fractional)
Na1 0.000 0.000 0.000
Zr1 0.750 0.750 0.750
As1 0.250 0.250 0.250
Os1 0.500 0.500 0.500

Properties
symmetry = No. 216
relative energy among the computed polymorphs = 0 meV per atom

KGaAu: optimized geometry, PBE.

abc: 5.201 5.201 5.201
angles: 60.00 60.00 60.00
Element x y z (fractional)
K1 0.000 0.000 0.000
Ga1 0.250 0.250 0.250
Au1 0.750 0.750 0.750

Properties
total energy = -2.0940 eV per atom
symmetry = No. 216

AgPbO3: optimized geometry, PBE.

abc: 4.287 4.287 4.249
angles: 90.00 90.00 90.00
Element x y z (fractional)
Ag1 0.000 0.000 0.000
Pb1 0.500 0.500 0.733
O1 0.000 0.500 0.864
O2 0.500 0.000 0.864
O3 0.500 0.500 0.257

Properties
total energy = -4.5182 eV per atom
symmetry = No. 99

Pr4P2BrCl: optimized geometry, PBE.

abc: 4.138 4.138 14.705
angles: 90.00 90.00 120.00
Element x y z (fractional)
Pr1 0.000 0.000 0.141
Pr2 0.000 0.000 0.859
Pr3 0.667 0.333 0.349
Pr4 0.667 0.333 0.651
P1 0.333 0.667 0.244
P2 0.333 0.667 0.756
Br1 0.000 0.000 0.500
Cl1 0.667 0.333 0.000

Properties
total energy = -5.7481 eV per atom
symmetry = No. 187

LaPrCl3: optimized geometry, PBE.

abc: 8.196 8.196 10.652
angles: 116.78 116.78 28.97
Element x y z (fractional)
La1 0.093 0.093 0.445
La2 0.907 0.907 0.555
Pr1 0.358 0.358 0.202
Pr2 0.642 0.642 0.798
Cl1 0.157 0.157 0.007
Cl2 0.269 0.269 0.380
Cl3 0.455 0.455 0.767
Cl4 0.545 0.545 0.233
Cl5 0.731 0.731 0.620
Cl6 0.843 0.843 0.993

Properties
total energy = -4.9123 eV per atom
symmetry = No. 12

Zr2CIBr: optimized geometry, PBE.

abc: 3.578 3.578 10.272
angles: 90.00 90.00 120.00
Element x y z (fractional)
Zr1 0.000 0.000 0.000
Zr2 0.333 0.667 0.227
C1 0.667 0.333 0.113
I1 0.000 0.000 0.437
Br1 0.333 0.667 0.812

Properties
total energy = -6.9558 eV per atom
symmetry = No. 156

PuUN2: optimized geometry, PBE.

abc: 5.945 5.945 5.945
angles: 33.76 33.76 33.76
Element x y z (fractional)
Pu1 0.000 0.000 0.000
U1 0.500 0.500 0.500
N1 0.245 0.245 0.245
N2 0.755 0.755 0.755

Properties
total energy = -11.8549 eV per atom
symmetry = No. 166

Cs2TbYS4: optimized geometry, PBE.

abc: 4.107 4.107 16.069
angles: 90.00 90.00 120.00
Element x y z (fractional)
Cs1 0.333 0.667 0.250
Cs2 0.667 0.333 0.750
Tb1 0.000 0.000 0.000
Y1 0.000 0.000 0.500
S1 0.333 0.667 0.591
S2 0.333 0.667 0.908
S3 0.667 0.333 0.092
S4 0.667 0.333 0.409

Properties
total energy = -5.5015 eV per atom
symmetry = No. 164

CdCoGe2: optimized geometry, PBE.

abc: 4.573 4.573 4.573
angles: 60.00 60.00 60.00
Element x y z (fractional)
Cd1 0.000 0.000 0.000
Co1 0.250 0.250 0.250
Ge1 0.500 0.500 0.500
Ge2 0.750 0.750 0.750

Properties
total energy = -3.8434 eV per atom
symmetry = No. 216

PrTlBiSe3: optimized geometry, PBE.

abc: 7.742 7.742 12.086
angles: 90.00 90.00 148.61
Element x y z (fractional)
Pr1 0.000 0.000 0.000
Pr2 0.000 0.000 0.500
Tl1 0.312 0.688 0.750
Tl2 0.688 0.312 0.250
Bi1 0.378 0.622 0.250
Bi2 0.622 0.378 0.750
Se1 0.028 0.972 0.250
Se2 0.361 0.639 0.013
Se3 0.361 0.639 0.487
Se4 0.639 0.361 0.513
Se5 0.639 0.361 0.987
Se6 0.972 0.028 0.750

Properties
total energy = -4.4420 eV per atom
symmetry = No. 63

Fe2TeCSe: optimized geometry, PBE.

abc: 3.163 3.163 9.080
angles: 90.00 90.00 120.00
Element x y z (fractional)
Fe1 0.000 0.000 0.000
Fe2 0.333 0.667 0.196
Te1 0.000 0.000 0.416
C1 0.667 0.333 0.122
Se1 0.333 0.667 0.824

Properties
total energy = -6.3730 eV per atom
symmetry = No. 156

SmTe2Cl2: optimized geometry, PBE.

abc: 7.174 7.192 8.148
angles: 63.90 82.87 74.80
Element x y z (fractional)
Sm1 0.000 0.175 0.151
Sm2 0.000 0.825 0.849
Te1 0.061 0.264 0.500
Te2 0.340 0.911 0.498
Te3 0.660 0.089 0.502
Te4 0.939 0.736 0.500
Cl1 0.249 0.434 0.988
Cl2 0.249 0.924 0.007
Cl3 0.751 0.076 0.993
Cl4 0.751 0.566 0.012

Properties
total energy = -4.3557 eV per atom
symmetry = No. 2

PuInNi: optimized geometry, PBE.

abc: 4.354 4.354 4.354
angles: 60.00 60.00 60.00
Element x y z (fractional)
Pu1 0.000 0.000 0.000
In1 0.750 0.750 0.750
Ni1 0.500 0.500 0.500

Properties
total energy = -6.5656 eV per atom
symmetry = No. 216

PrTeMo: optimized geometry, PBE.

abc: 4.795 4.795 4.795
angles: 60.00 60.00 60.00
Element x y z (fractional)
Pr1 0.000 0.000 0.000
Te1 0.500 0.500 0.500
Mo1 0.250 0.250 0.250

Properties
symmetry = No. 216
relative energy among the computed polymorphs = 0 meV per atom

TmMoAs: optimized geometry, PBE.

abc: 4.681 4.681 4.681
angles: 60.00 60.00 60.00
Element x y z (fractional)
Tm1 0.000 0.000 0.000
Mo1 0.250 0.250 0.250
As1 0.750 0.750 0.750

Properties
total energy = -5.8239 eV per atom
symmetry = No. 216